Below is a relaxed structure of Pr2YPt2I2, with properties calculated at the PBE-GGA level.

Structure (POSCAR):
```
Pr2YPt2I2
1.0
-2.650 2.650 8.255
2.650 -2.650 8.255
2.650 2.650 -8.255
Pr Y Pt I
2 1 2 2
Cartesian
0.000 0.000 1.712
0.000 0.000 14.797
0.000 0.000 8.255
2.650 0.000 0.000
0.000 2.650 0.000
0.000 0.000 5.058
0.000 0.000 11.451
```

Properties
E_form (uncorrected) (eV per atom): -0.94
Symmetry: I4/mmm, No. 139
DFT total energy (eV per cell): -37.8